No. 1
A relaxed structure of CsAcNiO3, computed with PBE with a Hubbard U.

It has space group C2/m (No. 12), with a = 14.1215 Å, b = 4.0332 Å, c = 8.2846 Å, α = 90.00°, β = 105.36° and γ = 90.00°. The asymmetric unit holds Cs at (0.1418, 0.0000, 0.0627), Ac at (0.1522, 0.0000, 0.5806), Ni at (0.0097, 0.5000, 0.3008), O at (0.0101, 0.0000, 0.3182), O at (0.1386, 0.5000, 0.7615) and O at (0.1613, 0.5000, 0.3794).

=====

No. 2
A relaxed structure of Cs4Ac3NiO8, computed with PBE with a Hubbard U.

It has space group C2/m (No. 12), with a = 13.7549 Å, b = 7.3434 Å, c = 7.9895 Å, α = 90.00°, β = 117.66° and γ = 90.00°. The asymmetric unit holds Cs at (0.0000, 0.0000, 0.0000), Cs at (0.0000, 0.5000, 0.0000), Cs at (0.2500, 0.2500, 0.0000), Ac at (0.0000, 0.0000, 0.5000), Ac at (0.2500, 0.2500, 0.5000), Ni at (0.0000, 0.5000, 0.5000), O at (0.0334, 0.2987, 0.3611), O at (0.2068, 0.0000, 0.6745) and O at (0.2177, 0.0000, 0.2768).

=====

Quick rundown of energy, same order as above: -5.662; -5.575 eV per atom